1.
## Re3BiSb (PBEsol)

Data for a relaxed Re3BiSb crystal.

POSCAR file:
```
Re3BiSb
1.0
4.8503 0.0000 0.0000
0.0000 4.8503 0.0000
0.0000 0.0000 4.8503
Re Bi Sb
3 1 1
Direct
0.0000 0.0000 0.5000
0.0000 0.5000 0.0000
0.5000 0.0000 0.0000
0.5000 0.5000 0.5000
0.0000 0.0000 0.0000
```

formation energy (no corrections): 2.469 eV per atom
E: -7.30 eV per atom
M_tot: 2.2 μB/f.u.



2.
## TaBiSb3 (PBEsol)

Data for a relaxed TaBiSb3 crystal.

POSCAR file:
```
TaBiSb3
1.0
5.3082 0.0000 0.0000
0.0000 5.3082 0.0000
0.0000 0.0000 5.3082
Ta Bi Sb
1 1 3
Direct
0.0000 0.0000 0.0000
0.5000 0.5000 0.5000
0.0000 0.0000 0.5000
0.0000 0.5000 0.0000
0.5000 0.0000 0.0000
```

formation energy (no corrections): 0.497 eV per atom
E: -5.60 eV per atom
M_tot: 0.0 μB/f.u.



3.
## MnMoPb2 (PBEsol)

Data for a relaxed MnMoPb2 crystal.

POSCAR file:
```
MnMoPb2
1.0
3.5329 0.0000 0.0000
0.0000 3.5329 0.0000
0.0000 0.0000 6.2221
Mn Mo Pb
1 1 2
Direct
0.0000 0.0000 0.0000
0.0000 0.0000 0.5000
0.5000 0.5000 0.2524
0.5000 0.5000 0.7476
```

energy of formation: 0.743 eV/atom
E: -6.64 eV per atom
M_tot: 4.2 μB/f.u.
offset from the most stable computed form: 35.6 kJ/mol of atoms



4.
## GaMo2C (PBEsol)

Data for a relaxed GaMo2C crystal.

POSCAR file:
```
GaMo2C
1.0
3.0334 0.0000 0.0000
-1.5167 2.6270 0.0000
0.0000 0.0000 13.0577
Ga Mo C
2 4 2
Direct
0.3333 0.6667 0.2500
0.6667 0.3333 0.7500
0.3333 0.6667 0.5888
0.3333 0.6667 0.9112
0.6667 0.3333 0.0888
0.6667 0.3333 0.4112
0.0000 0.0000 0.0000
0.0000 0.0000 0.5000
```

energy of formation: -0.195 eV/atom
E: -9.33 eV per atom
M_tot: 0.0 μB/f.u.
offset from the most stable computed form: 0.0 kJ/mol of atoms